Record 1
Computed, not measured: a relaxed structure of PbW at the PBE level of DFT.

a b c (Å): 5.1706 5.1706 9.3620
angles (deg): 108.01 108.01 36.89
Closest atoms and distances in Å follow each position.
Fractional positions:
Pb: 0.0000 0.0000 0.0000  8 Pb 3.27-3.45
Pb: 0.3367 0.3367 0.2252  5 W 3.03-3.15, 3 Pb 3.27-3.29
Pb: 0.6633 0.6633 0.7748  5 W 3.03-3.15, 3 Pb 3.27-3.29
W: 0.0000 0.0000 0.5000  4 W 2.70
W: 0.3300 0.3300 0.5973  4 W 2.57-2.70
W: 0.6700 0.6700 0.4027  4 W 2.57-2.70

Values from the calculation:
calculated volume = 142.0 Å³/cell
offset from the most stable computed form = 138.3 meV/atom
ΔH_f (0 K) = 0.633 eV/atom


Record 2
Computed, not measured: a relaxed structure of ScTa2SiI at the PBE level of DFT.

a b c (Å): 5.0220 5.0220 4.7824
angles (deg): 90.00 90.00 90.00
Closest atoms and distances in Å follow each position.
Fractional positions:
Sc: 0.0000 0.0000 0.0000  2 Si 2.39, 4 Ta 2.51
Ta: 0.0000 0.5000 0.0000  2 Sc 2.51
Ta: 0.5000 0.0000 0.0000  2 Sc 2.51
Si: 0.0000 0.0000 0.5000  2 Sc 2.39
I: 0.5000 0.5000 0.5000  8 Ta 3.47, 4 Si 3.55

Values from the calculation:
calculated volume = 120.6 Å³/cell
energy relative to the elements, uncorrected = 1.7086 eV per atom


Record 3
Computed, not measured: a relaxed structure of Sm3Ho6Tm2 at the PBE level of DFT.

a b c (Å): 16.8647 16.8647 16.8647
angles (deg): 163.91 163.91 22.84
Closest atoms and distances in Å follow each position.
Fractional positions:
Sm: 0.0000 0.0000 0.0000  8 Tm 3.67
Sm: 0.2017 0.2017 0.0000  9 Ho 3.35-3.58
Sm: 0.7983 0.7983 0.0000  9 Ho 3.35-3.58
Ho: 0.1203 0.6203 0.5000  6 Ho 3.34-3.40, 2 Tm 3.41, 2 Sm 3.58
Ho: 0.3057 0.3057 0.0000  5 Sm 3.35-3.44, 4 Ho 3.40
Ho: 0.3797 0.8797 0.5000  6 Ho 3.34-3.40, 2 Tm 3.41, 2 Sm 3.58
Ho: 0.6203 0.1203 0.5000  6 Ho 3.34-3.40, 2 Tm 3.41, 2 Sm 3.58
Ho: 0.6943 0.6943 0.0000  5 Sm 3.35-3.44, 4 Ho 3.40
Ho: 0.8797 0.3797 0.5000  6 Ho 3.34-3.40, 2 Tm 3.41, 2 Sm 3.58
Tm: 0.4539 0.4539 0.0000  1 Tm 3.05, 4 Ho 3.41
Tm: 0.5461 0.5461 0.0000  1 Tm 3.05, 4 Ho 3.41

Values from the calculation:
calculated volume = 368.5 Å³/cell
offset from the most stable computed form = 262.4 meV/atom
ΔH_f (0 K) = 0.283 eV/atom


Record 4
Computed, not measured: a relaxed structure of TlNiHg2S at the PBE level of DFT.

a b c (Å): 5.2455 5.2455 4.4090
angles (deg): 90.00 90.00 90.00
Closest atoms and distances in Å follow each position.
Fractional positions:
Tl: 0.0000 0.0000 0.0000  8 Hg 3.43, 4 S 3.71
Ni: 0.5000 0.5000 0.5000  2 S 2.20
Hg: 0.0000 0.5000 0.5000  2 Ni 2.62
Hg: 0.5000 0.0000 0.5000  2 Ni 2.62
S: 0.5000 0.5000 0.0000  2 Ni 2.20

Values from the calculation:
calculated volume = 121.3 Å³/cell
energy relative to the elements, uncorrected = 0.0017 eV per atom


Record 5
Computed, not measured: a relaxed structure of KY2Fe at the PBE level of DFT.

a b c (Å): 3.8532 3.8532 9.1394
angles (deg): 90.00 90.00 90.00
Closest atoms and distances in Å follow each position.
Fractional positions:
K: 0.0000 0.0000 0.0000  1 Y 3.59, 4 K 3.85, 4 Fe 4.01
Y: 0.0000 0.0000 0.6068  4 Fe 2.80
Y: 0.5000 0.5000 0.3700  1 Fe 2.81
Fe: 0.5000 0.5000 0.6773  5 Y 2.80-2.81

Values from the calculation:
calculated volume = 135.7 Å³/cell
offset from the most stable computed form = 232.5 meV/atom
ΔH_f (0 K) = 0.440 eV/atom


Record 6
Computed, not measured: a relaxed structure of CdNiSn2Hg at the PBE level of DFT.

a b c (Å): 4.9563 4.9563 5.1052
angles (deg): 90.00 90.00 90.00
Closest atoms and distances in Å follow each position.
Fractional positions:
Cd: 0.0000 0.0000 0.0000  2 Ni 2.55
Ni: 0.0000 0.0000 0.5000  4 Sn 2.48, 2 Cd 2.55
Sn: 0.0000 0.5000 0.5000  2 Ni 2.48
Sn: 0.5000 0.0000 0.5000  2 Ni 2.48
Hg: 0.5000 0.5000 0.0000  4 Cd 3.50, 8 Sn 3.56

Values from the calculation:
calculated volume = 125.4 Å³/cell
offset from the most stable computed form = 0.0 meV/atom
ΔH_f (0 K) = 0.025 eV/atom


Record 7
Computed, not measured: a relaxed structure of AlZn2Pb at the PBE level of DFT.

a b c (Å): 9.2778 9.2778 9.2778
angles (deg): 151.79 151.79 40.32
Closest atoms and distances in Å follow each position.
Fractional positions:
Al: 0.0000 0.0000 0.0000  4 Zn 2.56
Al: 0.7500 0.2500 0.5000  4 Zn 2.56
Zn: 0.0341 0.6250 0.9091  2 Al 2.56, 2 Zn 2.68
Zn: 0.3750 0.2841 0.4091  2 Al 2.56, 2 Zn 2.68
Zn: 0.7159 0.1250 0.0909  2 Al 2.56, 2 Zn 2.68
Zn: 0.8750 0.9659 0.5909  2 Al 2.56, 2 Zn 2.68
Pb: 0.2500 0.7500 0.5000  4 Zn 2.90, 4 Al 3.20
Pb: 0.5000 0.5000 0.0000  4 Zn 2.90, 4 Al 3.20

Values from the calculation:
calculated volume = 178.1 Å³/cell
offset from the most stable computed form = 61.1 meV/atom
ΔH_f (0 K) = 0.202 eV/atom


Record 8
Computed, not measured: a relaxed structure of NaInSn at the PBE level of DFT.

a b c (Å): 6.1388 6.1388 9.1367
angles (deg): 90.00 90.00 90.00
Closest atoms and distances in Å follow each position.
Fractional positions:
Na: 0.0000 0.2540 0.0000  4 Sn 3.07-3.18, 2 Na 3.17
Na: 0.0000 0.7460 0.5000  4 Sn 3.07-3.18, 2 Na 3.17
Na: 0.2540 0.0000 0.7500  4 Sn 3.07-3.18, 2 Na 3.17
Na: 0.7460 0.0000 0.2500  4 Sn 3.07-3.18, 2 Na 3.17
In: 0.2654 0.2654 0.3750  6 Sn 3.42-3.74, 6 Na 3.56-3.79, 2 In 3.68
In: 0.2654 0.7346 0.1250  6 Sn 3.42-3.74, 6 Na 3.56-3.79, 2 In 3.68
In: 0.7346 0.2654 0.6250  6 Sn 3.42-3.74, 6 Na 3.56-3.79, 2 In 3.68
In: 0.7346 0.7346 0.8750  6 Sn 3.42-3.74, 6 Na 3.56-3.79, 2 In 3.68
Sn: 0.2644 0.5000 0.7500  2 Sn 3.07, 4 Na 3.07-3.18, 2 In 3.42
Sn: 0.5000 0.2644 0.0000  2 Sn 3.07, 4 Na 3.07-3.18, 2 In 3.42
Sn: 0.5000 0.7356 0.5000  2 Sn 3.07, 4 Na 3.07-3.18, 2 In 3.42
Sn: 0.7356 0.5000 0.2500  2 Sn 3.07, 4 Na 3.07-3.18, 2 In 3.42

Values from the calculation:
calculated volume = 344.3 Å³/cell
ΔH_f (0 K) = -0.016 eV/atom


Record 9
Computed, not measured: a relaxed structure of Sb2AsS at the PBE level of DFT.

a b c (Å): 6.6861 6.6861 6.6861
angles (deg): 37.06 37.06 37.06
Closest atoms and distances in Å follow each position.
Fractional positions:
Sb: 0.2500 0.2500 0.2500  3 S 2.90, 3 As 2.91
Sb: 0.7500 0.7500 0.7500  3 S 2.90, 3 As 2.91
As: 0.0000 0.0000 0.0000  6 Sb 2.91
S: 0.5000 0.5000 0.5000  6 Sb 2.90

Values from the calculation:
calculated volume = 97.3 Å³/cell
energy relative to the elements, uncorrected = 0.0405 eV per atom
offset from the most stable computed form = 0.0 meV/atom


Record 10
Computed, not measured: a relaxed structure of LiDy2Hf at the PBE level of DFT.

a b c (Å): 3.4019 3.4019 9.0320
angles (deg): 90.00 90.00 90.00
Closest atoms and distances in Å follow each position.
Fractional positions:
Li: 0.0000 0.0000 0.0000  8 Dy 3.32, 4 Li 3.40
Dy: 0.5000 0.5000 0.2537  4 Hf 3.28, 4 Li 3.32, 4 Dy 3.40
Dy: 0.5000 0.5000 0.7463  4 Hf 3.28, 4 Li 3.32, 4 Dy 3.40
Hf: 0.0000 0.0000 0.5000  8 Dy 3.28, 4 Hf 3.40

Values from the calculation:
calculated volume = 104.5 Å³/cell
offset from the most stable computed form = 0.0 meV/atom
ΔH_f (0 K) = 0.100 eV/atom


Record 11
Computed, not measured: a relaxed structure of Tb3NdYHo at the PBE level of DFT.

a b c (Å): 6.2725 6.2725 11.9077
angles (deg): 90.00 90.00 123.42
Closest atoms and distances in Å follow each position.
Fractional positions:
Tb: 0.1680 0.8320 0.0001  1 Y 3.48, 4 Tb 3.48-3.71, 3 Nd 3.50-3.67, 2 Ho 3.51
Tb: 0.1680 0.8320 0.4999  1 Y 3.48, 4 Tb 3.48-3.71, 3 Nd 3.50-3.67, 2 Ho 3.51
Tb: 0.3302 0.6698 0.7500  3 Y 3.46-3.75, 2 Tb 3.48, 2 Nd 3.52, 3 Ho 3.52-3.64
Tb: 0.6698 0.3302 0.2500  3 Y 3.46-3.75, 2 Tb 3.48, 2 Nd 3.52, 3 Ho 3.52-3.64
Tb: 0.8320 0.1680 0.9999  1 Y 3.48, 4 Tb 3.48-3.71, 3 Nd 3.50-3.67, 2 Ho 3.51
Tb: 0.8320 0.1680 0.5001  1 Y 3.48, 4 Tb 3.48-3.71, 3 Nd 3.50-3.67, 2 Ho 3.51
Nd: 0.5000 0.5000 0.0000  8 Tb 3.50-3.67, 2 Y 3.52
Nd: 0.5000 0.5000 0.5000  8 Tb 3.50-3.67, 2 Y 3.52
Y: 0.3304 0.6696 0.2500  5 Tb 3.46-3.75, 3 Ho 3.51-3.66, 2 Nd 3.52
Y: 0.6696 0.3304 0.7500  5 Tb 3.46-3.75, 3 Ho 3.51-3.66, 2 Nd 3.52
Ho: 0.0006 0.9994 0.7500  7 Tb 3.51-3.64, 3 Y 3.51-3.66
Ho: 0.9994 0.0006 0.2500  7 Tb 3.51-3.64, 3 Y 3.51-3.66

Values from the calculation:
calculated volume = 391.1 Å³/cell
ΔH_f (0 K) = 0.124 eV/atom


Record 12
Computed, not measured: a relaxed structure of Cd3Pd8 at the PBE level of DFT.

a b c (Å): 6.0742 6.0742 6.0742
angles (deg): 96.32 96.32 96.32
Closest atoms and distances in Å follow each position.
Fractional positions:
Cd: 0.0000 0.5000 0.5000  4 Pd 2.62-2.69
Cd: 0.5000 0.0000 0.5000  4 Pd 2.62-2.69
Cd: 0.5000 0.5000 0.0000  4 Pd 2.62-2.69
Pd: 0.0389 0.6886 0.9266  6 Pd 2.56-2.80, 1 Cd 2.69
Pd: 0.0734 0.9611 0.3114  6 Pd 2.56-2.80, 1 Cd 2.69
Pd: 0.3114 0.0734 0.9611  6 Pd 2.56-2.80, 1 Cd 2.69
Pd: 0.3603 0.3603 0.3603  4 Pd 2.60-2.79, 3 Cd 2.62
Pd: 0.6397 0.6397 0.6397  4 Pd 2.60-2.79, 3 Cd 2.62
Pd: 0.6886 0.9266 0.0389  6 Pd 2.56-2.80, 1 Cd 2.69
Pd: 0.9266 0.0389 0.6886  6 Pd 2.56-2.80, 1 Cd 2.69
Pd: 0.9611 0.3114 0.0734  6 Pd 2.56-2.80, 1 Cd 2.69

Values from the calculation:
calculated volume = 219.7 Å³/cell
ΔH_f (0 K) = 0.175 eV/atom